(1)
{"formula": "HfO2", "functional": "GGA-PBE", "state": "optimized geometry", "energy_ev_per_cell": -30.27, "volume_a3_per_atom": 10.9, "raw_formation_energy_ev_per_fu": -10.40, "lattice": [[3.589, 0.000, 0.000], [1.794, 3.108, 0.000], [1.794, 1.036, 2.930]], "species": ["O", "O", "Hf"], "frac_coords": [[0.250, 0.250, 0.250], [0.750, 0.750, 0.750], [0.500, 0.500, 0.500]]}

***

(2)
{"formula": "HfO", "functional": "GGA-PBE", "state": "optimized geometry", "energy_ev_per_cell": -153.82, "volume_a3_per_atom": 17.3, "raw_formation_energy_ev_per_fu": -4.32, "lattice": [[-3.391, -2.905, -4.752], [3.922, -5.196, 0.377], [-3.955, -2.662, 4.449]], "species": ["Hf", "Hf", "O", "Hf", "Hf", "O", "O", "O", "Hf", "O", "O", "Hf", "O", "O", "Hf", "Hf"], "frac_coords": [[0.814, 0.814, 0.814], [0.314, 0.314, 0.314], [0.363, 0.637, 0.363], [0.814, 0.186, 0.186], [0.686, 0.314, 0.686], [0.137, 0.863, 0.863], [0.863, 0.863, 0.137], [0.863, 0.137, 0.863], [0.686, 0.686, 0.314], [0.637, 0.363, 0.363], [0.637, 0.637, 0.637], [0.314, 0.686, 0.686], [0.363, 0.363, 0.637], [0.137, 0.137, 0.137], [0.186, 0.814, 0.186], [0.186, 0.186, 0.814]]}

***

(3)
{"formula": "HfO2", "functional": "GGA-PBE", "state": "optimized geometry", "energy_ev_per_cell": -121.95, "volume_a3_per_atom": 12.4, "raw_formation_energy_ev_per_fu": -10.62, "lattice": [[-0.594, -2.982, 3.862], [4.882, -1.822, -0.656], [2.013, 4.133, 3.501]], "species": ["O", "Hf", "O", "Hf", "Hf", "O", "O", "O", "O", "O", "O", "Hf"], "frac_coords": [[0.724, 0.079, 0.391], [0.000, 0.750, 0.825], [0.724, 0.579, 0.609], [0.500, 0.750, 0.325], [0.000, 0.250, 0.175], [0.224, 0.421, 0.891], [0.776, 0.579, 0.109], [0.224, 0.921, 0.109], [0.276, 0.421, 0.391], [0.276, 0.921, 0.609], [0.776, 0.079, 0.891], [0.500, 0.250, 0.675]]}

***

(4)
{"formula": "HfO", "functional": "GGA-PBE", "state": "optimized geometry", "energy_ev_per_cell": -39.63, "volume_a3_per_atom": 15.3, "raw_formation_energy_ev_per_fu": -4.91, "lattice": [[3.552, 0.000, 0.301], [0.000, 3.564, 0.000], [-0.407, 0.000, 4.794]], "species": ["O", "Hf", "O", "Hf"], "frac_coords": [[0.750, 0.250, 0.000], [0.250, 0.250, 0.241], [0.250, 0.750, 0.000], [0.750, 0.750, 0.759]]}

***

(5)
{"formula": "HfO", "functional": "GGA-PBE", "state": "optimized geometry", "energy_ev_per_cell": -116.14, "volume_a3_per_atom": 16.9, "raw_formation_energy_ev_per_fu": -4.44, "lattice": [[-6.825, -3.797, 2.308], [5.359, -3.817, -4.800], [1.661, -1.253, 2.851]], "species": ["O", "O", "Hf", "O", "O", "Hf", "Hf", "Hf", "Hf", "Hf", "O", "O"], "frac_coords": [[0.592, 0.626, 0.750], [0.035, 0.408, 0.750], [0.875, 0.291, 0.250], [0.626, 0.035, 0.250], [0.374, 0.965, 0.750], [0.584, 0.875, 0.750], [0.291, 0.416, 0.750], [0.709, 0.584, 0.250], [0.416, 0.125, 0.250], [0.125, 0.709, 0.750], [0.965, 0.592, 0.250], [0.408, 0.374, 0.250]]}

***

(6)
{"formula": "HfO2", "functional": "GGA-PBE", "state": "optimized geometry", "energy_ev_per_cell": -120.48, "volume_a3_per_atom": 10.0, "raw_formation_energy_ev_per_fu": -10.25, "lattice": [[-2.214, -0.706, -2.390], [-1.869, -4.289, 2.998], [-4.343, 3.899, 2.871]], "species": ["O", "Hf", "O", "Hf", "O", "O", "O", "Hf", "O", "O", "Hf", "O"], "frac_coords": [[0.750, 0.361, 0.423], [0.250, 0.251, 0.608], [0.250, 0.139, 0.923], [0.750, 0.249, 0.108], [0.750, 0.861, 0.077], [0.250, 0.639, 0.577], [0.750, 0.479, 0.841], [0.750, 0.749, 0.392], [0.250, 0.521, 0.159], [0.250, 0.021, 0.341], [0.250, 0.751, 0.892], [0.750, 0.979, 0.659]]}

***

Values for mass density, g/cm3, ordered as above
10.70, 9.32, 9.37, 10.57, 9.56, 11.61
Values for total moment, μB/f.u., ordered as above
0.0, 0.0, 0.0, 0.0, 0.2, 0.0
Values for D(E_F), states/eV/atom, ordered as above
0.00, 0.74, 0.00, 0.45, 0.76, 0.00